# TmPuCl6 (GGA-PBE, optimized geometry)
# formation energy without anion corrections = -2.06 eV per atom
# volume = 268 Å³/cell
data_TmPuCl6
_chemical_formula_sum 'Tm1 Pu1 Cl6'
_space_group_name_H-M_alt 'P 1'
_space_group_IT_number 1
_cell_length_a 7.0677
_cell_length_b 7.0677
_cell_length_c 6.6681
_cell_angle_alpha 97.43
_cell_angle_beta 97.43
_cell_angle_gamma 123.21
loop_
_space_group_symop_operation_xyz
'x,y,z'
loop_
_atom_site_label
_atom_site_type_symbol
_atom_site_fract_x
_atom_site_fract_y
_atom_site_fract_z
Tm1 Tm 0.0000 0.0000 0.0000
Pu1 Pu 0.5000 0.5000 0.5000
Cl1 Cl 0.0970 0.3797 0.2426
Cl2 Cl 0.2462 0.2462 0.7570
Cl3 Cl 0.3797 0.0970 0.2426
Cl4 Cl 0.6203 0.9030 0.7574
Cl5 Cl 0.7538 0.7538 0.2430
Cl6 Cl 0.9030 0.6203 0.7574



# Pr4GaTeBr2 (GGA-PBE, optimized geometry)
# formation energy without anion corrections = -1.13 eV per atom
# volume = 246 Å³/cell
data_Pr4GaTeBr2
_chemical_formula_sum 'Pr4 Ga1 Te1 Br2'
_space_group_name_H-M_alt 'P 1'
_space_group_IT_number 1
_cell_length_a 7.5074
_cell_length_b 4.4174
_cell_length_c 7.8945
_cell_angle_alpha 90.00
_cell_angle_beta 109.69
_cell_angle_gamma 90.00
loop_
_space_group_symop_operation_xyz
'x,y,z'
loop_
_atom_site_label
_atom_site_type_symbol
_atom_site_fract_x
_atom_site_fract_y
_atom_site_fract_z
Pr1 Pr 0.2251 0.0000 0.2197
Pr2 Pr 0.2365 0.5000 0.7739
Pr3 Pr 0.7635 0.5000 0.2261
Pr4 Pr 0.7749 0.0000 0.7803
Ga1 Ga 0.0000 0.5000 0.0000
Te1 Te 0.0000 0.0000 0.5000
Br1 Br 0.5000 0.0000 0.0000
Br2 Br 0.5000 0.5000 0.5000



# RePPt2 (GGA-PBE, optimized geometry)
# volume = 62 Å³/cell
# DFT formation energy = 537 meV/atom
data_RePPt2
_chemical_formula_sum 'Re1 P1 Pt2'
_space_group_name_H-M_alt 'P 1'
_space_group_IT_number 1
_cell_length_a 4.4537
_cell_length_b 4.4537
_cell_length_c 4.4537
_cell_angle_alpha 60.00
_cell_angle_beta 60.00
_cell_angle_gamma 60.00
loop_
_space_group_symop_operation_xyz
'x,y,z'
loop_
_atom_site_label
_atom_site_type_symbol
_atom_site_fract_x
_atom_site_fract_y
_atom_site_fract_z
Re1 Re 0.0000 0.0000 0.0000
P1 P 0.5000 0.5000 0.5000
Pt1 Pt 0.2500 0.2500 0.2500
Pt2 Pt 0.7500 0.7500 0.7500



# CsHfO2F (GGA-PBE, optimized geometry)
# formation energy without anion corrections = -2.93 eV per atom
# volume = 79 Å³/cell
data_CsHfO2F
_chemical_formula_sum 'Cs1 Hf1 O2 F1'
_space_group_name_H-M_alt 'P 1'
_space_group_IT_number 1
_cell_length_a 4.1779
_cell_length_b 4.1779
_cell_length_c 4.5154
_cell_angle_alpha 90.00
_cell_angle_beta 90.00
_cell_angle_gamma 90.00
loop_
_space_group_symop_operation_xyz
'x,y,z'
loop_
_atom_site_label
_atom_site_type_symbol
_atom_site_fract_x
_atom_site_fract_y
_atom_site_fract_z
Cs1 Cs 0.0000 0.0000 0.0000
Hf1 Hf 0.5000 0.5000 0.5000
O1 O 0.0000 0.5000 0.5000
O2 O 0.5000 0.0000 0.5000
F1 F 0.5000 0.5000 0.0000



# YZr2Br (GGA-PBE, optimized geometry)
# formation energy without anion corrections = -0.06 eV per atom
# volume = 100 Å³/cell
data_YZr2Br
_chemical_formula_sum 'Y1 Zr2 Br1'
_space_group_name_H-M_alt 'P 1'
_space_group_IT_number 1
_cell_length_a 3.3750
_cell_length_b 5.6974
_cell_length_c 5.2108
_cell_angle_alpha 90.00
_cell_angle_beta 92.89
_cell_angle_gamma 90.00
loop_
_space_group_symop_operation_xyz
'x,y,z'
loop_
_atom_site_label
_atom_site_type_symbol
_atom_site_fract_x
_atom_site_fract_y
_atom_site_fract_z
Y1 Y 0.0000 0.0000 0.0000
Zr1 Zr 0.3334 0.5000 0.7685
Zr2 Zr 0.6666 0.5000 0.2315
Br1 Br 0.5000 0.0000 0.5000



# Tb5Ho5Th2 (GGA-PBE, optimized geometry)
# volume = 380 Å³/cell
# DFT formation energy = 28 meV/atom
data_Tb5Ho5Th2
_chemical_formula_sum 'Tb5 Ho5 Th2'
_space_group_name_H-M_alt 'P 1'
_space_group_IT_number 1
_cell_length_a 6.1380
_cell_length_b 7.9568
_cell_length_c 8.7013
_cell_angle_alpha 68.49
_cell_angle_beta 89.55
_cell_angle_gamma 74.98
loop_
_space_group_symop_operation_xyz
'x,y,z'
loop_
_atom_site_label
_atom_site_type_symbol
_atom_site_fract_x
_atom_site_fract_y
_atom_site_fract_z
Tb1 Tb 0.0000 0.0000 0.0000
Tb2 Tb 0.0890 0.2456 0.5815
Tb3 Tb 0.1694 0.4959 0.1665
Tb4 Tb 0.8306 0.5041 0.8335
Tb5 Tb 0.9110 0.7544 0.4185
Ho1 Ho 0.2527 0.7528 0.7463
Ho2 Ho 0.4177 0.2472 0.9178
Ho3 Ho 0.5000 0.5000 0.5000
Ho4 Ho 0.5823 0.7528 0.0822
Ho5 Ho 0.7473 0.2472 0.2537
Th1 Th 0.3374 0.9992 0.3338
Th2 Th 0.6626 0.0008 0.6662



# TlRuW2 (GGA-PBE, optimized geometry)
# volume = 68 Å³/cell
# DFT formation energy = 716 meV/atom
data_TlRuW2
_chemical_formula_sum 'Tl1 Ru1 W2'
_space_group_name_H-M_alt 'P 1'
_space_group_IT_number 1
_cell_length_a 4.6514
_cell_length_b 3.0594
_cell_length_c 4.9298
_cell_angle_alpha 90.00
_cell_angle_beta 105.27
_cell_angle_gamma 90.00
loop_
_space_group_symop_operation_xyz
'x,y,z'
loop_
_atom_site_label
_atom_site_type_symbol
_atom_site_fract_x
_atom_site_fract_y
_atom_site_fract_z
Tl1 Tl 0.0000 0.0000 0.0000
Ru1 Ru 0.5000 0.5000 0.0000
W1 W 0.0000 0.5000 0.5000
W2 W 0.5000 0.0000 0.5000



# RbSc3Hg (GGA-PBE, optimized geometry)
# volume = 169 Å³/cell
# DFT formation energy = 457 meV/atom
data_RbSc3Hg
_chemical_formula_sum 'Rb1 Sc3 Hg1'
_space_group_name_H-M_alt 'P 1'
_space_group_IT_number 1
_cell_length_a 5.5302
_cell_length_b 5.5302
_cell_length_c 5.5302
_cell_angle_alpha 90.00
_cell_angle_beta 90.00
_cell_angle_gamma 90.00
loop_
_space_group_symop_operation_xyz
'x,y,z'
loop_
_atom_site_label
_atom_site_type_symbol
_atom_site_fract_x
_atom_site_fract_y
_atom_site_fract_z
Rb1 Rb 0.0000 0.0000 0.0000
Sc1 Sc 0.0000 0.5000 0.5000
Sc2 Sc 0.5000 0.0000 0.5000
Sc3 Sc 0.5000 0.5000 0.0000
Hg1 Hg 0.5000 0.5000 0.5000



# TiBeMo3 (GGA-PBE, optimized geometry)
# volume = 93 Å³/cell
# DFT formation energy = 1716 meV/atom
data_TiBeMo3
_chemical_formula_sum 'Ti1 Be1 Mo3'
_space_group_name_H-M_alt 'P 1'
_space_group_IT_number 1
_cell_length_a 4.5316
_cell_length_b 4.5316
_cell_length_c 4.5316
_cell_angle_alpha 90.00
_cell_angle_beta 90.00
_cell_angle_gamma 90.00
loop_
_space_group_symop_operation_xyz
'x,y,z'
loop_
_atom_site_label
_atom_site_type_symbol
_atom_site_fract_x
_atom_site_fract_y
_atom_site_fract_z
Ti1 Ti 0.0000 0.0000 0.0000
Be1 Be 0.5000 0.5000 0.5000
Mo1 Mo 0.0000 0.0000 0.5000
Mo2 Mo 0.0000 0.5000 0.0000
Mo3 Mo 0.5000 0.0000 0.0000



# YReRh2 (GGA-PBE, optimized geometry)
# volume = 67 Å³/cell
# DFT formation energy = 72 meV/atom
data_YReRh2
_chemical_formula_sum 'Y1 Re1 Rh2'
_space_group_name_H-M_alt 'P 1'
_space_group_IT_number 1
_cell_length_a 4.8990
_cell_length_b 2.8713
_cell_length_c 5.1155
_cell_angle_alpha 90.00
_cell_angle_beta 110.82
_cell_angle_gamma 90.00
loop_
_space_group_symop_operation_xyz
'x,y,z'
loop_
_atom_site_label
_atom_site_type_symbol
_atom_site_fract_x
_atom_site_fract_y
_atom_site_fract_z
Y1 Y 0.0000 0.0000 0.0000
Re1 Re 0.0000 0.5000 0.5000
Rh1 Rh 0.5000 0.0000 0.5000
Rh2 Rh 0.5000 0.5000 0.0000



# LaRe5 (GGA-PBE, optimized geometry)
# volume = 109 Å³/cell
# DFT formation energy = 428 meV/atom
data_LaRe5
_chemical_formula_sum 'La1 Re5'
_space_group_name_H-M_alt 'P 1'
_space_group_IT_number 1
_cell_length_a 4.2802
_cell_length_b 9.0672
_cell_length_c 9.0672
_cell_angle_alpha 18.13
_cell_angle_beta 90.00
_cell_angle_gamma 90.00
loop_
_space_group_symop_operation_xyz
'x,y,z'
loop_
_atom_site_label
_atom_site_type_symbol
_atom_site_fract_x
_atom_site_fract_y
_atom_site_fract_z
La1 La 0.0000 0.0000 0.0000
Re1 Re 0.0000 0.3229 0.3229
Re2 Re 0.0000 0.6883 0.6883
Re3 Re 0.5000 0.2361 0.2361
Re4 Re 0.5000 0.6045 0.6045
Re5 Re 0.5000 0.8672 0.8672



# CeTlCdCl6 (GGA-PBE, optimized geometry)
# formation energy without anion corrections = -1.57 eV per atom
# volume = 608 Å³/cell
data_CeTlCdCl6
_chemical_formula_sum 'Ce2 Tl2 Cd2 Cl12'
_space_group_name_H-M_alt 'P 1'
_space_group_IT_number 1
_cell_length_a 7.1146
_cell_length_b 7.1146
_cell_length_c 13.8737
_cell_angle_alpha 90.00
_cell_angle_beta 90.00
_cell_angle_gamma 120.00
loop_
_space_group_symop_operation_xyz
'x,y,z'
loop_
_atom_site_label
_atom_site_type_symbol
_atom_site_fract_x
_atom_site_fract_y
_atom_site_fract_z
Ce1 Ce 0.3333 0.6667 0.2500
Ce2 Ce 0.6667 0.3333 0.7500
Tl1 Tl 0.0000 0.0000 0.0000
Tl2 Tl 0.0000 0.0000 0.5000
Cd1 Cd 0.3333 0.6667 0.7500
Cd2 Cd 0.6667 0.3333 0.2500
Cl1 Cl 0.0108 0.3763 0.6388
Cl2 Cl 0.0108 0.6344 0.8612
Cl3 Cl 0.3656 0.3763 0.8612
Cl4 Cl 0.3656 0.9892 0.6388
Cl5 Cl 0.3763 0.0108 0.1388
Cl6 Cl 0.3763 0.3656 0.3612
Cl7 Cl 0.6237 0.6344 0.6388
Cl8 Cl 0.6237 0.9892 0.8612
Cl9 Cl 0.6344 0.0108 0.3612
Cl10 Cl 0.6344 0.6237 0.1388
Cl11 Cl 0.9892 0.3656 0.1388
Cl12 Cl 0.9892 0.6237 0.3612